Below is a geometry-optimized YVCd2 structure, with properties calculated at the PBE level.

As for the space group: No. 225. Its energy is -4.28 eV per atom. The total magnetic moment comes out at 0.789 μB per atom.

```
data_YVCd2
_cell_length_a 5.013
_cell_length_b 5.013
_cell_length_c 5.013
_cell_angle_alpha 60.00
_cell_angle_beta 60.00
_cell_angle_gamma 60.00
_symmetry_space_group_name_H-M 'P 1'
_symmetry_Int_Tables_number 1
_symmetry_space_group_name_Hall 'P 1'
loop_
_atom_site_label
_atom_site_type_symbol
_atom_site_fract_x
_atom_site_fract_y
_atom_site_fract_z
V1 V 0.000 0.000 0.000
Cd1 Cd 0.250 0.250 0.250
Cd2 Cd 0.750 0.750 0.750
Y1 Y 0.500 0.500 0.500
```